Record 1
First-principles (GGA-PBE) data for crystalline SrCaOs3 at its relaxed geometry, as listed in Alexandria.

Values from the calculation:
**D(E_F)**: 9.7 states/eV/cell
**E_form**: 237.9 kJ/mol of atoms
**Energy relative to the lowest polymorph listed for this composition**: 0 meV/atom

Lattice parameters (Å, degrees): 4.875 4.875 4.875 90.00 90.00 90.00
Site moments in Bohr magnetons follow the coordinates.
Element x y z (fractional)
Os 0.500 0.000 0.000  0.47
Sr 0.500 0.500 0.500  0.00
Os 0.000 0.500 0.000  0.65
Os 0.000 0.000 0.500  0.40
Ca 0.000 0.000 0.000  -0.02



Record 2
First-principles (GGA-PBE) data for crystalline Ta4ReMo at its relaxed geometry, as listed in Alexandria.

Values from the calculation:
**D(E_F)**: 5.0 states/eV/cell
**E_form**: -24.6 kJ/mol of atoms
**Energy relative to the lowest polymorph listed for this composition**: 0 meV/atom

Lattice parameters (Å, degrees): 3.226 3.226 9.873 90.00 90.00 90.00
Element x y z (fractional)
Ta 0.500 0.500 0.840
Re 0.000 0.000 0.000
Ta 0.500 0.500 0.160
Ta 0.000 0.000 0.340
Mo 0.500 0.500 0.500
Ta 0.000 0.000 0.660



Record 3
First-principles (GGA-PBE) data for crystalline Zr2CoP at its relaxed geometry, as listed in Alexandria.

Values from the calculation:
**D(E_F)**: 3.7 states/eV/cell
**E_form**: -54.7 kJ/mol of atoms
**Energy relative to the lowest polymorph listed for this composition**: 366 meV/atom

Lattice parameters (Å, degrees): 4.495 4.495 3.339 89.95 89.95 101.87
Element x y z (fractional)
Zr 0.000 0.000 0.000
Zr 0.500 0.500 0.000
P 0.000 0.500 0.500
Co 0.500 0.000 0.500



Record 4
First-principles (GGA-PBE) data for crystalline CaSeBr2 at its relaxed geometry, as listed in Alexandria.

Values from the calculation:
**Raw formation energy**: -3.54 eV/f.u.
**D(E_F)**: 0.2 states/eV/cell
**Energy relative to the lowest polymorph listed for this composition**: 351 meV/atom

Lattice parameters (Å, degrees): 4.213 5.794 5.752 73.87 90.00 90.00
Site moments in Bohr magnetons follow the coordinates.
Element x y z (fractional)
Br 0.000 0.041 0.043  0.13
Br 0.000 0.459 0.457  0.13
Ca 0.500 0.250 0.250  0.01
Se 0.500 0.750 0.750  1.01



Record 5
First-principles (GGA-PBE) data for crystalline Ga3TeP at its relaxed geometry, as listed in Alexandria.

Values from the calculation:
**Raw formation energy**: 4.55 eV/f.u.
**D(E_F)**: 3.0 states/eV/cell
**Energy relative to the lowest polymorph listed for this composition**: 813 meV/atom

Lattice parameters (Å, degrees): 5.369 5.369 5.369 90.00 90.00 90.00
Element x y z (fractional)
Te 0.000 0.000 0.000
P 0.500 0.500 0.500
Ga 0.500 0.000 0.000
Ga 0.000 0.500 0.000
Ga 0.000 0.000 0.500



Record 6
First-principles (GGA-PBE) data for crystalline MnBeBi2Au at its relaxed geometry, as listed in Alexandria.

Values from the calculation:
**D(E_F)**: 3.1 states/eV/cell
**E_form**: 104.9 kJ/mol of atoms

Lattice parameters (Å, degrees): 5.540 4.987 5.540 90.00 90.00 90.00
Site moments in Bohr magnetons follow the coordinates.
Element x y z (fractional)
Au 0.000 0.000 0.000  0.05
Mn 0.000 0.500 0.000  4.25
Bi 0.000 0.000 0.500  -0.03
Be 0.500 0.500 0.500  0.01
Bi 0.500 0.000 0.000  -0.02



no.,VASP energy (eV/cell)
1,-25.05
2,-72.22
3,-31.88
4,-12.37
5,-13.08
6,-18.50